A PBEsol-optimized structure of Dy4C5. Source: Alexandria, functional meta-GGA SCAN.

Computed properties:
The total magnetic moment comes out at 0.0 μB/cell. Its total energy is -491.5 eV for the cell shown. Its calculated formation energy is -0.454 eV per atom.

Cell: 6.4933 11.8712 3.6128 Å, 90.00 90.00 90.00°
Space group Pbam (No. 55)
One atom of each set of equivalent atoms:
1 Dy 0.1082 0.1963 0.0000 x4
2 Dy 0.2454 0.9581 0.5000 x4
3 C 0.0000 0.0000 0.0000 x2
4 C 0.0957 0.6562 0.5000 x4
5 C 0.1394 0.7660 0.5000 x4

=====

A PBEsol-optimized structure of Dy2Fe17C3. Source: Alexandria, functional meta-GGA SCAN.

Computed properties:
The total magnetic moment comes out at 114.5 μB/cell. Its total energy is -1307.5 eV for the cell shown. Its calculated formation energy is -0.079 eV per atom.

Cell: 8.4538 8.4538 12.2490 Å, 90.00 90.00 120.00°
Space group R-3m (No. 166, hexagonal axes)
One atom of each set of equivalent atoms:
1 Dy 0.0000 0.0000 0.1564 x6
2 Fe 0.0000 0.0000 0.4045 x6
3 Fe 0.0000 0.2826 0.5000 x18
4 Fe 0.0000 0.5000 0.0000 x9
5 Fe 0.0062 0.5031 0.3472 x18
6 C 0.0000 0.5000 0.5000 x9

=====

A PBEsol-optimized structure of Dy2Fe17C3. Source: Alexandria, functional meta-GGA SCAN.

Computed properties:
The total magnetic moment comes out at 76.8 μB/cell. Its total energy is -871.8 eV for the cell shown. Its calculated formation energy is -0.082 eV per atom.

Cell: 8.4680 8.4680 8.1592 Å, 90.00 90.00 120.00°
Space group P6_3/mmc (No. 194)
One atom of each set of equivalent atoms:
1 Dy 0.0000 0.0000 0.2500 x2
2 Dy 0.3333 0.6667 0.2500 x2
3 Fe 0.0000 0.5000 0.0000 x6
4 Fe 0.0536 0.3806 0.7500 x12
5 Fe 0.1679 0.3357 0.0202 x12
6 Fe 0.3333 0.6667 0.6075 x4
7 C 0.1655 0.3311 0.2500 x6

=====

A PBEsol-optimized structure of DyFe2SiC. Source: Alexandria, functional meta-GGA SCAN.

Computed properties:
The uncorrected formation energy is -465 meV per atom. The total magnetic moment comes out at 6.1 μB/cell. Its total energy is -426.0 eV for the cell shown.

Cell: 3.7146 10.2950 6.6263 Å, 90.00 90.00 90.00°
Space group Cmcm (No. 63)
One atom of each set of equivalent atoms:
1 Dy 0.0000 0.0514 0.2500 x4
2 Fe 0.0000 0.3345 0.0635 x8
3 Si 0.0000 0.2296 0.7500 x4
4 C 0.0000 0.5000 0.0000 x4

=====

Which value of total magnetic moment does entry 2 give?
114.5 μB/cell